A plane-wave DFT calculation with GGA-PBE was carried out for an optimized crystal structure of CaLa2Hg4.

abc: 9.403 9.403 9.403
angles: 32.80 32.80 32.80
Fractional coordinates of all 7 atoms:
Ca: 0.000 0.000 0.000
La: 0.247 0.247 0.247
La: 0.753 0.753 0.753
Hg: 0.126 0.126 0.126
Hg: 0.373 0.373 0.373
Hg: 0.627 0.627 0.627
Hg: 0.874 0.874 0.874

Results
Space group ... No. 166
Size of the total moment ... 0.000 μB/f.u.
E_tot ... -15.9 eV for the cell shown
Energy relative to the elements ... -401 meV per atom